# 1
# PrAlZnPt2

A geometry-optimized PrAlZnPt2 structure (PBE-GGA, Alexandria via LeMat-Bulk).

Results
**Formation enthalpy at 0 K**: -0.936 eV per atom
**Crystal system**: tetragonal
**Energy**: -5.312 eV per atom
**SG**: I-4m2, No. 119

Unit cell a=6.5873 b=6.5873 c=6.5873 alpha=144.05 beta=144.05 gamma=51.75
Last column: nearest neighbours and their distance in Å.
Positions (direct):
Pr  0.0000  0.0000  0.0000  8 Pt 3.19
Al  0.7500  0.2500  0.5000  4 Pt 2.58, 4 Zn 2.87
Zn  0.2500  0.7500  0.5000  4 Pt 2.58, 4 Al 2.87
Pt  0.3837  0.3837  0.0000  2 Al 2.58, 2 Zn 2.58, 1 Pt 2.76
Pt  0.6163  0.6163  0.0000  2 Al 2.58, 2 Zn 2.58, 1 Pt 2.76

---

# 2
# PuMoS4

A geometry-optimized PuMoS4 structure (PBE-GGA, Alexandria via LeMat-Bulk).

Results
**Crystal system**: monoclinic
**Energy**: -7.786 eV per atom
**SG**: P2_1/c, No. 14
**Formation energy from raw total energies**: -0.84 eV per atom

Unit cell a=7.4522 b=5.7432 c=7.0529 alpha=90.00 beta=118.23 gamma=90.00
Last column: nearest neighbours and their distance in Å.
Positions (direct):
Pu  0.0000  0.0000  0.0000  6 S 2.62-2.70
Pu  0.0000  0.5000  0.5000  6 S 2.62-2.70
Mo  0.5000  0.0000  0.5000  6 S 2.38-2.50
Mo  0.5000  0.5000  0.0000  6 S 2.38-2.50
S  0.2052  0.2398  0.3551  1 Mo 2.38, 1 Pu 2.62
S  0.2052  0.2602  0.8551  1 Mo 2.38, 1 Pu 2.62
S  0.3506  0.7442  0.6772  2 Mo 2.45-2.50, 1 Pu 2.70
S  0.3506  0.7558  0.1772  2 Mo 2.45-2.50, 1 Pu 2.70
S  0.6494  0.2442  0.8228  2 Mo 2.45-2.50, 1 Pu 2.70
S  0.6494  0.2558  0.3228  2 Mo 2.45-2.50, 1 Pu 2.70
S  0.7948  0.7398  0.1449  1 Mo 2.38, 1 Pu 2.62
S  0.7948  0.7602  0.6449  1 Mo 2.38, 1 Pu 2.62

---

# 3
# RbNa2I2Br

A geometry-optimized RbNa2I2Br structure (PBE-GGA, Alexandria via LeMat-Bulk).

Results
**Crystal system**: monoclinic
**Energy**: -2.740 eV per atom
**SG**: P2_1/m, No. 11
**Formation energy from raw total energies**: -1.34 eV per atom

Unit cell a=6.9759 b=7.3267 c=12.2637 alpha=90.00 beta=102.84 gamma=90.00
Last column: nearest neighbours and their distance in Å.
Positions (direct):
Rb  0.2220  0.2500  0.0599  3 I 3.61-3.72
Rb  0.7780  0.7500  0.9401  3 I 3.61-3.72
Na  0.0355  0.0049  0.6571  2 Br 2.86, 2 I 3.08
Na  0.0355  0.4951  0.6571  2 Br 2.86, 2 I 3.08
Na  0.9645  0.5049  0.3429  2 Br 2.86, 2 I 3.08
Na  0.9645  0.9951  0.3429  2 Br 2.86, 2 I 3.08
I  0.1680  0.7500  0.1985  2 Na 3.08
I  0.2491  0.7500  0.8449  2 Na 3.08
I  0.7509  0.2500  0.1551  2 Na 3.08
I  0.8320  0.2500  0.8015  2 Na 3.08
Br  0.1638  0.2500  0.5063  4 Na 2.86
Br  0.8362  0.7500  0.4937  4 Na 2.86

---

# 4
# CuAgSb2Pb2

A geometry-optimized CuAgSb2Pb2 structure (PBE-GGA, Alexandria via LeMat-Bulk).

Results
**Crystal system**: orthorhombic
**Energy**: -3.705 eV per atom
**SG**: Ibam, No. 72
**Formation energy from raw total energies**: 0.06 eV per atom

Unit cell a=8.6010 b=8.6010 c=8.6010 alpha=134.49 beta=66.08 gamma=134.80
Last column: nearest neighbours and their distance in Å.
Positions (direct):
Cu  0.2500  0.2500  0.0000  4 Sb 2.76
Cu  0.7500  0.7500  0.0000  4 Sb 2.76
Ag  0.2500  0.7500  0.5000  4 Sb 2.96, 4 Pb 3.25, 2 Ag 3.31
Ag  0.7500  0.2500  0.5000  4 Sb 2.96, 4 Pb 3.25, 2 Ag 3.31
Sb  0.1132  0.2251  0.3383  2 Cu 2.76, 2 Ag 2.96
Sb  0.3868  0.7251  0.1120  2 Cu 2.76, 2 Ag 2.96
Sb  0.6132  0.2749  0.8880  2 Cu 2.76, 2 Ag 2.96
Sb  0.8868  0.7749  0.6617  2 Cu 2.76, 2 Ag 2.96
Pb  0.1568  0.7467  0.9035  5 Sb 3.25-3.53, 2 Ag 3.25, 2 Cu 3.27
Pb  0.3432  0.2467  0.5898  5 Sb 3.25-3.53, 2 Ag 3.25, 2 Cu 3.27
Pb  0.6568  0.7533  0.4102  5 Sb 3.25-3.53, 2 Ag 3.25, 2 Cu 3.27
Pb  0.8432  0.2533  0.0965  5 Sb 3.25-3.53, 2 Ag 3.25, 2 Cu 3.27

---

# 5
# CsMnPd

A geometry-optimized CsMnPd structure (PBE-GGA, Alexandria via LeMat-Bulk).

Results
**Formation enthalpy at 0 K**: 0.345 eV per atom
**Crystal system**: triclinic
**Energy**: -4.727 eV per atom
**SG**: P-1, No. 2

Unit cell a=3.9762 b=3.9763 c=12.7821 alpha=91.28 beta=91.20 gamma=119.98
Last column: nearest neighbours and their distance in Å.
Positions (direct):
Cs  0.1246  0.2911  0.2025  3 Pd 3.35
Cs  0.8754  0.7089  0.7975  3 Pd 3.35
Mn  0.1673  0.3339  0.5011  3 Mn 2.29-2.30
Mn  0.8327  0.6661  0.4989  3 Mn 2.29-2.30
Pd  0.4856  0.9853  0.3938  6 Mn 2.66-2.67, 1 Pd 2.71
Pd  0.5144  0.0147  0.6062  6 Mn 2.66-2.67, 1 Pd 2.71

---

# 6
# SrGa2Br

A geometry-optimized SrGa2Br structure (PBE-GGA, Alexandria via LeMat-Bulk).

Results
**Crystal system**: cubic
**Energy**: -2.458 eV per atom
**SG**: Fm-3m, No. 225
**Formation energy from raw total energies**: -0.11 eV per atom

Unit cell a=5.4621 b=5.4621 c=5.4621 alpha=60.00 beta=60.00 gamma=60.00
Last column: nearest neighbours and their distance in Å.
Positions (direct):
Sr  0.0000  0.0000  0.0000  8 Ga 3.34
Ga  0.2500  0.2500  0.2500  4 Br 3.34, 4 Sr 3.34
Ga  0.7500  0.7500  0.7500  4 Br 3.34, 4 Sr 3.34
Br  0.5000  0.5000  0.5000  8 Ga 3.34

---

# 7
# GdYH

A geometry-optimized GdYH structure (PBE-GGA, Alexandria via LeMat-Bulk).

Results
**Crystal system**: tetragonal
**Energy**: -8.089 eV per atom
**SG**: I4mm, No. 107

Unit cell a=6.5482 b=6.5482 c=6.5482 alpha=150.28 beta=150.28 gamma=42.54
Last column: nearest neighbours and their distance in Å.
Positions (direct):
Gd  0.0000  0.0000  0.0000  1 H 2.26
Y  0.7118  0.7118  0.0000  4 H 2.40
H  0.1853  0.1853  0.0000  1 Gd 2.26, 4 Y 2.40

---

# 8
# KSbSF2

A geometry-optimized KSbSF2 structure (PBE-GGA, Alexandria via LeMat-Bulk).

Results
**Crystal system**: tetragonal
**Energy**: -4.368 eV per atom
**SG**: P4mm, No. 99
**Formation energy from raw total energies**: -1.75 eV per atom

Unit cell a=4.5438 b=4.5438 c=5.7517 alpha=90.00 beta=90.00 gamma=90.00
Last column: nearest neighbours and their distance in Å.
Positions (direct):
K  0.0000  0.0000  0.0000  4 F 3.15, 4 S 3.35
Sb  0.5000  0.5000  0.4310  4 F 2.29, 1 S 2.34
S  0.5000  0.5000  0.8378  1 Sb 2.34
F  0.0000  0.5000  0.3785  2 Sb 2.29
F  0.5000  0.0000  0.3785  2 Sb 2.29

---

Which value of energy does entry 3 give? -2.740 eV per atom